Entry 1:
# In3IrCl (GGA-PBE, optimized geometry)
# Energy above the most stable polymorph in this dataset, eV per atom: 0.006
# Calculated volume, Å³/atom: 28.03
# Crystal system: cubic
data_In3IrCl
_chemical_formula_sum 'In3 Ir1 Cl1'
_space_group_name_H-M_alt 'P 1'
_space_group_IT_number 1
_cell_length_a 5.194
_cell_length_b 5.194
_cell_length_c 5.194
_cell_angle_alpha 90.00
_cell_angle_beta 90.00
_cell_angle_gamma 90.00
loop_
_space_group_symop_operation_xyz
'x,y,z'
loop_
_atom_site_label
_atom_site_type_symbol
_atom_site_fract_x
_atom_site_fract_y
_atom_site_fract_z
In1 In 0.000 0.000 0.500
In2 In 0.000 0.500 0.000
In3 In 0.500 0.000 0.000
Ir1 Ir 0.000 0.000 0.000
Cl1 Cl 0.500 0.500 0.500

=====

Entry 2:
# ZnB2Te (GGA-PBE, optimized geometry)
# Energy, eV per atom: -2.70
# Calculated volume, Å³/atom: 15.25
# Crystal system: cubic
data_ZnB2Te
_chemical_formula_sum 'Zn1 B2 Te1'
_space_group_name_H-M_alt 'P 1'
_space_group_IT_number 1
_cell_length_a 4.418
_cell_length_b 4.418
_cell_length_c 4.418
_cell_angle_alpha 60.00
_cell_angle_beta 60.00
_cell_angle_gamma 60.00
loop_
_space_group_symop_operation_xyz
'x,y,z'
loop_
_atom_site_label
_atom_site_type_symbol
_atom_site_fract_x
_atom_site_fract_y
_atom_site_fract_z
Zn1 Zn 0.000 0.000 0.000
B1 B 0.250 0.250 0.250
B2 B 0.500 0.500 0.500
Te1 Te 0.750 0.750 0.750

=====

Entry 3:
# Er3Lu4Te2Pd2 (GGA-PBE, optimized geometry)
# Energy above the most stable polymorph in this dataset, eV per atom: 0.002
# Calculated volume, Å³/atom: 26.04
# Crystal system: orthorhombic
data_Er3Lu4Te2Pd2
_chemical_formula_sum 'Er3 Lu4 Te2 Pd2'
_space_group_name_H-M_alt 'P 1'
_space_group_IT_number 1
_cell_length_a 9.273
_cell_length_b 9.273
_cell_length_c 9.273
_cell_angle_alpha 155.71
_cell_angle_beta 67.32
_cell_angle_gamma 118.30
loop_
_space_group_symop_operation_xyz
'x,y,z'
loop_
_atom_site_label
_atom_site_type_symbol
_atom_site_fract_x
_atom_site_fract_y
_atom_site_fract_z
Er1 Er 0.000 0.000 0.000
Er2 Er 0.287 0.417 0.869
Er3 Er 0.548 0.417 0.131
Lu1 Lu 0.309 0.626 0.683
Lu2 Lu 0.622 0.267 0.356
Lu3 Lu 0.911 0.267 0.644
Lu4 Lu 0.943 0.626 0.317
Te1 Te 0.265 0.765 0.500
Te2 Te 0.663 0.663 0.000
Pd1 Pd 0.166 0.931 0.235
Pd2 Pd 0.697 0.931 0.765

=====

Entry 4:
# CuHgMoPb (GGA-PBE, optimized geometry)
# Energy above the most stable polymorph in this dataset, eV per atom: 0.079
# Calculated volume, Å³/atom: 20.63
# Crystal system: cubic
data_CuHgMoPb
_chemical_formula_sum 'Cu1 Hg1 Mo1 Pb1'
_space_group_name_H-M_alt 'P 1'
_space_group_IT_number 1
_cell_length_a 4.887
_cell_length_b 4.887
_cell_length_c 4.887
_cell_angle_alpha 60.00
_cell_angle_beta 60.00
_cell_angle_gamma 60.00
loop_
_space_group_symop_operation_xyz
'x,y,z'
loop_
_atom_site_label
_atom_site_type_symbol
_atom_site_fract_x
_atom_site_fract_y
_atom_site_fract_z
Cu1 Cu 0.000 0.000 0.000
Hg1 Hg 0.500 0.500 0.500
Mo1 Mo 0.250 0.250 0.250
Pb1 Pb 0.750 0.750 0.750

=====

Entry 5:
# HfTe2 (GGA-PBE, optimized geometry)
# Energy, eV per atom: -6.24
# Calculated volume, Å³/atom: 32.16
# Crystal system: monoclinic
data_HfTe2
_chemical_formula_sum 'Hf1 Te2'
_space_group_name_H-M_alt 'P 1'
_space_group_IT_number 1
_cell_length_a 3.965
_cell_length_b 3.965
_cell_length_c 7.087
_cell_angle_alpha 90.06
_cell_angle_beta 90.06
_cell_angle_gamma 60.00
loop_
_space_group_symop_operation_xyz
'x,y,z'
loop_
_atom_site_label
_atom_site_type_symbol
_atom_site_fract_x
_atom_site_fract_y
_atom_site_fract_z
Hf1 Hf 0.000 0.000 0.000
Te1 Te 0.333 0.333 0.750
Te2 Te 0.667 0.667 0.250

=====

Entry 6:
# CsZnAsO (GGA-PBE, optimized geometry)
# Energy above the most stable polymorph in this dataset, eV per atom: 0.000
# Calculated volume, Å³/atom: 22.66
# Crystal system: orthorhombic
data_CsZnAsO
_chemical_formula_sum 'Cs2 Zn2 As2 O2'
_space_group_name_H-M_alt 'P 1'
_space_group_IT_number 1
_cell_length_a 3.291
_cell_length_b 9.156
_cell_length_c 6.016
_cell_angle_alpha 90.00
_cell_angle_beta 90.00
_cell_angle_gamma 90.00
loop_
_space_group_symop_operation_xyz
'x,y,z'
loop_
_atom_site_label
_atom_site_type_symbol
_atom_site_fract_x
_atom_site_fract_y
_atom_site_fract_z
Cs1 Cs 0.000 0.155 0.000
Cs2 Cs 0.000 0.845 0.500
Zn1 Zn 0.500 0.269 0.501
Zn2 Zn 0.500 0.731 0.001
As1 As 0.500 0.498 0.761
As2 As 0.500 0.502 0.261
O1 O 0.000 0.160 0.503
O2 O 0.000 0.840 0.003

=====

Entry 7:
# Gd2ErTl2Cd4 (GGA-PBE, optimized geometry)
# Energy, eV per atom: -2.80
# Calculated volume, Å³/atom: 25.28
# Crystal system: orthorhombic
data_Gd2ErTl2Cd4
_chemical_formula_sum 'Gd2 Er1 Tl2 Cd4'
_space_group_name_H-M_alt 'P 1'
_space_group_IT_number 1
_cell_length_a 4.579
_cell_length_b 7.559
_cell_length_c 7.559
_cell_angle_alpha 119.59
_cell_angle_beta 90.00
_cell_angle_gamma 90.00
loop_
_space_group_symop_operation_xyz
'x,y,z'
loop_
_atom_site_label
_atom_site_type_symbol
_atom_site_fract_x
_atom_site_fract_y
_atom_site_fract_z
Gd1 Gd 0.000 0.213 0.787
Gd2 Gd 0.000 0.787 0.213
Er1 Er 0.000 0.360 0.360
Tl1 Tl 0.500 0.121 0.452
Tl2 Tl 0.500 0.452 0.121
Cd1 Cd 0.000 0.782 0.782
Cd2 Cd 0.500 0.024 0.024
Cd3 Cd 0.500 0.546 0.786
Cd4 Cd 0.500 0.786 0.546

=====

Entry 8:
# HfZrPd2 (GGA-PBE, optimized geometry)
# Energy above the most stable polymorph in this dataset, eV per atom: 0.000
# Calculated volume, Å³/atom: 18.89
# Formation enthalpy at 0 K, eV per atom: -0.669
# Crystal system: orthorhombic
data_HfZrPd2
_chemical_formula_sum 'Hf1 Zr1 Pd2'
_space_group_name_H-M_alt 'P 1'
_space_group_IT_number 1
_cell_length_a 4.358
_cell_length_b 5.443
_cell_length_c 5.443
_cell_angle_alpha 35.83
_cell_angle_beta 90.00
_cell_angle_gamma 90.00
loop_
_space_group_symop_operation_xyz
'x,y,z'
loop_
_atom_site_label
_atom_site_type_symbol
_atom_site_fract_x
_atom_site_fract_y
_atom_site_fract_z
Hf1 Hf 0.000 0.000 0.000
Zr1 Zr 0.500 0.284 0.284
Pd1 Pd 0.000 0.730 0.730
Pd2 Pd 0.500 0.552 0.552